VASP calculation (GGA+U) on an optimized crystal structure of BaNaNdFeO6.

Computed properties:
For the total energy, the calculation gives -61.56 eV per cell. The calculation puts the magnetic moment at 4.04 μB per formula unit.

Cell: 5.9169 5.9169 5.9169 Å, 60.00 60.00 60.00°
With the nearest neighbours (Å) after each atom.
Atoms (fractional coordinates):
Ba  0.2500  0.2500  0.2500  12 O 2.97
Na  0.7500  0.7500  0.7500  12 O 2.97
Nd  0.5000  0.5000  0.5000  6 O 2.31
Fe  0.0000  0.0000  0.0000  6 O 1.88
O  0.2244  0.7756  0.2244  1 Fe 1.88
O  0.7756  0.2244  0.7756  1 Fe 1.88
O  0.2244  0.7756  0.7756  1 Fe 1.88
O  0.7756  0.2244  0.2244  1 Fe 1.88
O  0.2244  0.2244  0.7756  1 Fe 1.88
O  0.7756  0.7756  0.2244  1 Fe 1.88

---

VASP calculation (GGA+U) on an optimized crystal structure of Ba2NaFeO.

Computed properties:
For the total energy, the calculation gives -17.01 eV per cell. The calculation puts the magnetic moment at 1.81 μB per formula unit.

Cell: 6.8804 3.7466 6.8804 Å, 90.00 90.00 90.00°
With the nearest neighbours (Å) after each atom.
Atoms (fractional coordinates):
Na  0.5000  0.5000  0.5000  2 Na 3.75, 8 Ba 3.92
Ba  0.0000  0.0000  0.5000  2 Fe 3.44, 2 Ba 3.75
Ba  0.5000  0.0000  0.0000  2 Fe 3.44, 2 Ba 3.75
O  0.0000  0.5000  0.0000  2 Fe 1.87
Fe  0.0000  0.0000  0.0000  2 O 1.87

---

VASP calculation (GGA+U) on an optimized crystal structure of Ba3NaFe2O6.

Computed properties:
For the total energy, the calculation gives -69.62 eV per cell. The calculation puts the magnetic moment at 7.00 μB per formula unit.

Cell: 6.1907 6.1907 7.0105 Å, 90.00 90.00 120.00°
With the nearest neighbours (Å) after each atom.
Atoms (fractional coordinates):
Ba  0.3333  0.6667  0.6618  1 Fe 3.08, 9 O 3.12-3.19
Ba  0.6667  0.3333  0.3382  1 Fe 3.08, 9 O 3.12-3.19
Ba  0.0000  0.0000  0.0000  6 O 2.68
Na  0.0000  0.0000  0.5000  6 O 2.36
Fe  0.6667  0.3333  0.7773  3 O 1.82
Fe  0.3333  0.6667  0.2227  3 O 1.82
O  0.6632  0.8316  0.2831  1 Fe 1.82
O  0.1684  0.3368  0.2831  1 Fe 1.82
O  0.1684  0.8316  0.2831  1 Fe 1.82
O  0.8316  0.6632  0.7169  1 Fe 1.82
O  0.3368  0.1684  0.7169  1 Fe 1.82
O  0.8316  0.1684  0.7169  1 Fe 1.82

---

VASP calculation (GGA+U) on an optimized crystal structure of BaNaFeO3.

Computed properties:
For the total energy, the calculation gives -67.58 eV per cell. The calculation puts the magnetic moment at 5.00 μB per formula unit.

Cell: 5.8771 5.8771 6.8172 Å, 70.18 70.18 71.38°
With the nearest neighbours (Å) after each atom.
Atoms (fractional coordinates):
Ba  0.6991  0.6991  0.8530  5 O 2.70-2.80
Ba  0.3009  0.3009  0.1470  5 O 2.70-2.80
Na  0.3162  0.6838  0.5000  4 O 2.26-2.40, 1 Na 2.52
Na  0.6838  0.3162  0.5000  4 O 2.26-2.40, 1 Na 2.52
Fe  0.0806  0.0806  0.7838  3 O 1.82-1.88
Fe  0.9194  0.9194  0.2162  3 O 1.82-1.88
O  0.2717  0.2717  0.5621  1 Fe 1.82
O  0.1526  0.7331  0.8380  1 Fe 1.88
O  0.7331  0.1526  0.8380  1 Fe 1.88
O  0.2669  0.8474  0.1620  1 Fe 1.88
O  0.8474  0.2669  0.1620  1 Fe 1.88
O  0.7283  0.7283  0.4379  1 Fe 1.82

---

VASP calculation (GGA+U) on an optimized crystal structure of Ba2NaFeO4.

Computed properties:
For the total energy, the calculation gives -45.50 eV per cell. The calculation puts the magnetic moment at 3.01 μB per formula unit.

Cell: 5.6250 5.6250 5.6250 Å, 102.72 112.95 112.95°
With the nearest neighbours (Å) after each atom.
Atoms (fractional coordinates):
Ba  0.5000  0.7500  0.2500  8 O 2.76-2.99
Ba  0.0000  0.0000  0.0000  4 O 2.61
Na  0.5000  0.2500  0.7500  4 O 2.41
Fe  0.0000  0.5000  0.5000  4 O 1.90
O  0.5832  0.3313  0.3780  1 Fe 1.90
O  0.0466  0.2518  0.6687  1 Fe 1.90
O  0.9534  0.6220  0.2052  1 Fe 1.90
O  0.4168  0.7948  0.7482  1 Fe 1.90

---

VASP calculation (GGA+U) on an optimized crystal structure of BaNaPrFeO6.

Computed properties:
For the total energy, the calculation gives -61.41 eV per cell. The calculation puts the magnetic moment at 4.04 μB per formula unit.

Cell: 5.9408 5.9408 5.9408 Å, 60.00 60.00 60.00°
With the nearest neighbours (Å) after each atom.
Atoms (fractional coordinates):
Ba  0.2500  0.2500  0.2500  12 O 2.98
Na  0.7500  0.7500  0.7500  12 O 2.98
Pr  0.5000  0.5000  0.5000  6 O 2.32
Fe  0.0000  0.0000  0.0000  6 O 1.88
O  0.2235  0.7765  0.2235  1 Fe 1.88
O  0.7765  0.2235  0.7765  1 Fe 1.88
O  0.2235  0.7765  0.7765  1 Fe 1.88
O  0.7765  0.2235  0.2235  1 Fe 1.88
O  0.2235  0.2235  0.7765  1 Fe 1.88
O  0.7765  0.7765  0.2235  1 Fe 1.88

---

Going through the records in order, we get calculated volume values of 14.65, 35.47, 19.39, 16.90, 16.95, 14.83 Å³/atom.